Record 1
Material: ScH12Rh7
Method: DFT, PBE-GGA
State: optimized geometry

a = 8.1803 Å, b = 8.1803 Å, c = 8.6819 Å
α = 90.00°, β = 90.00°, γ = 120.00°
With the nearest neighbours (Å) after each atom.
Space group R-3 (No. 148, hexagonal axes)
Symmetry-distinct sites (fractional):
Sc1 0.0000 0.0000 0.0000 (multiplicity 3)  6 H 2.18
H1 0.0392 0.4716 0.6083 (multiplicity 18)  3 Rh 1.78-1.81
H2 0.0639 0.8414 0.4056 (multiplicity 18)  4 Rh 1.80-2.00
Rh1 0.0000 0.0000 0.5000 (multiplicity 3)  6 H 1.82
Rh2 0.0047 0.6913 0.2383 (multiplicity 18)  5 H 1.78-1.89

Computed properties:
Density   7.697 g/cm3
Total magnetic moment   0.0000 μB/atom
Uncorrected energy   -4.993 eV per atom

Record 2
Material: ScH3Rh
Method: DFT, PBE-GGA
State: optimized geometry

a = 3.0282 Å, b = 3.0282 Å, c = 4.6387 Å
α = 90.00°, β = 90.00°, γ = 90.00°
With the nearest neighbours (Å) after each atom.
Space group P4mm (No. 99)
Symmetry-distinct sites (fractional):
Sc1 0.0000 0.0000 0.0000 (multiplicity 1)  5 H 1.96-2.05
H1 0.0000 0.0000 0.5585 (multiplicity 1)  4 H 2.03, 1 Sc 2.05, 4 Rh 2.15
H2 0.0000 0.5000 0.2679 (multiplicity 2)  2 Rh 1.93, 2 Sc 1.96, 6 H 2.03-2.14
Rh1 0.5000 0.5000 0.5254 (multiplicity 1)  8 H 1.93-2.15

Computed properties:
Density   5.890 g/cm3
Total magnetic moment   0.0000 μB/atom
Uncorrected energy   -4.896 eV per atom

Record 3
Material: ScH12Rh6
Method: DFT, PBE-GGA
State: optimized geometry

a = 8.2718 Å, b = 8.2718 Å, c = 7.3012 Å
α = 90.00°, β = 90.00°, γ = 120.00°
With the nearest neighbours (Å) after each atom.
Space group R-3 (No. 148, hexagonal axes)
Symmetry-distinct sites (fractional):
Sc1 0.0000 0.0000 0.0000 (multiplicity 3)  6 H 2.10
H1 0.0482 0.2618 0.9105 (multiplicity 18)  3 Rh 1.81-1.83
H2 0.0491 0.2261 0.4036 (multiplicity 18)  3 Rh 1.78-1.91
Rh1 0.0576 0.2394 0.6650 (multiplicity 18)  6 H 1.78-1.91

Computed properties:
Density   7.766 g/cm3
Total magnetic moment   0.0000 μB/atom
Uncorrected energy   -4.932 eV per atom